[1]
Compound: OsPt2AuF
Source: the Alexandria database
Functional: SCAN
Structure: PBEsol geometry

abc: 4.8082 4.8082 3.8251
angles: 90.00 90.00 90.00
Element x y z (fractional)
Os1 0.0000 0.0000 0.0000
Pt1 0.0000 0.5000 0.0000
Pt2 0.5000 0.0000 0.0000
Au1 0.5000 0.5000 0.5000
F1 0.0000 0.0000 0.5000

## Properties
* E_form (uncorrected): 0.630 eV per atom

[2]
Compound: CaScSn2As
Source: the Alexandria database
Functional: SCAN
Structure: PBEsol geometry

abc: 5.3320 5.3320 5.5401
angles: 90.00 90.00 90.00
Element x y z (fractional)
Ca1 0.0000 0.0000 0.0000
Sc1 0.0000 0.0000 0.5000
Sn1 0.0000 0.5000 0.5000
Sn2 0.5000 0.0000 0.5000
As1 0.5000 0.5000 0.0000

## Properties
* ΔH_f (0 K): 0.58 eV per atom

[3]
Compound: AsPt2Rh
Source: the Alexandria database
Functional: SCAN
Structure: PBEsol geometry

abc: 2.8535 4.1214 5.2673
angles: 90.00 104.62 90.00
Element x y z (fractional)
As1 0.0000 0.0000 0.0000
Pt1 0.3824 0.5000 0.2399
Pt2 0.6176 0.5000 0.7601
Rh1 0.0000 0.0000 0.5000

## Properties
* ΔH_f (0 K): -0.01 eV per atom

[4]
Compound: Na2CaZr
Source: the Alexandria database
Functional: SCAN
Structure: PBEsol geometry

abc: 5.5210 5.5210 5.5210
angles: 60.00 60.00 60.00
Element x y z (fractional)
Na1 0.2500 0.2500 0.2500
Na2 0.7500 0.7500 0.7500
Ca1 0.0000 0.0000 0.0000
Zr1 0.5000 0.5000 0.5000

## Properties
* ΔH_f (0 K): 0.67 eV per atom

[5]
Compound: Zr3CrW
Source: the Alexandria database
Functional: SCAN
Structure: PBEsol geometry

abc: 5.0155 5.0155 5.0155
angles: 90.00 90.00 90.00
Element x y z (fractional)
Zr1 0.0000 0.0000 0.5000
Zr2 0.0000 0.5000 0.0000
Zr3 0.5000 0.0000 0.0000
Cr1 0.5000 0.5000 0.5000
W1 0.0000 0.0000 0.0000

## Properties
* ΔH_f (0 K): 0.91 eV per atom

[6]
Compound: AlCdN2
Source: the Alexandria database
Functional: SCAN
Structure: PBEsol geometry

abc: 3.9257 3.9257 3.9257
angles: 60.00 60.00 60.00
Element x y z (fractional)
Al1 0.0000 0.0000 0.0000
Cd1 0.5000 0.5000 0.5000
N1 0.2500 0.2500 0.2500
N2 0.7500 0.7500 0.7500

## Properties
* E_form (uncorrected): 0.902 eV per atom

[7]
Compound: V2Se2O9
Source: the Alexandria database
Functional: SCAN
Structure: PBEsol geometry

abc: 8.0753 10.3096 10.2935
angles: 90.00 127.08 90.00
Element x y z (fractional)
V1 0.0251 0.1054 0.2966
V2 0.0251 0.3946 0.7966
V3 0.3689 0.0314 0.7152
V4 0.3689 0.4686 0.2152
V5 0.6311 0.5314 0.7848
V6 0.6311 0.9686 0.2848
V7 0.9749 0.6054 0.2034
V8 0.9749 0.8946 0.7034
Se1 0.2463 0.1599 0.1333
Se2 0.2463 0.3401 0.6333
Se3 0.3199 0.6564 0.8779
Se4 0.3199 0.8436 0.3779
Se5 0.6801 0.1564 0.6221
Se6 0.6801 0.3436 0.1221
Se7 0.7537 0.6599 0.3667
Se8 0.7537 0.8401 0.8667
O1 0.0839 0.7259 0.7237
O2 0.0839 0.7741 0.2237
O3 0.0962 0.5514 0.3840
O4 0.0962 0.9486 0.8840
O5 0.1360 0.5426 0.1509
O6 0.1360 0.9574 0.6509
O7 0.2257 0.5304 0.9315
O8 0.2257 0.9696 0.4315
O9 0.2425 0.1781 0.5739
O10 0.2425 0.3219 0.0739
O11 0.2451 0.1862 0.2979
O12 0.2451 0.3138 0.7979
O13 0.3670 0.5705 0.7621
O14 0.3670 0.9295 0.2621
O15 0.4511 0.0916 0.8858
O16 0.4511 0.4084 0.3858
O17 0.4906 0.6397 0.2673
O18 0.4906 0.8603 0.7673
O19 0.5094 0.1397 0.2327
O20 0.5094 0.3603 0.7327
O21 0.5489 0.5916 0.6142
O22 0.5489 0.9084 0.1142
O23 0.6330 0.0705 0.7379
O24 0.6330 0.4295 0.2379
O25 0.7549 0.6862 0.2021
O26 0.7549 0.8138 0.7021
O27 0.7575 0.6781 0.9261
O28 0.7575 0.8219 0.4261
O29 0.7743 0.0304 0.5685
O30 0.7743 0.4696 0.0685
O31 0.8640 0.0426 0.3491
O32 0.8640 0.4574 0.8491
O33 0.9038 0.0514 0.1160
O34 0.9038 0.4486 0.6160
O35 0.9161 0.2259 0.7763
O36 0.9161 0.2741 0.2763

## Properties
* E_form (uncorrected): -1.705 eV per atom

[8]
Compound: RbOsPt2
Source: the Alexandria database
Functional: SCAN
Structure: PBEsol geometry

abc: 4.6773 4.6773 4.6773
angles: 60.00 60.00 60.00
Element x y z (fractional)
Rb1 0.0000 0.0000 0.0000
Os1 0.5000 0.5000 0.5000
Pt1 0.2500 0.2500 0.2500
Pt2 0.7500 0.7500 0.7500

## Properties
* ΔH_f (0 K): 1.37 eV per atom

[9]
Compound: Er2Al3Co
Source: the Alexandria database
Functional: SCAN
Structure: PBEsol geometry

abc: 5.2660 5.2660 5.2660
angles: 61.44 61.44 61.44
Element x y z (fractional)
Er1 0.1260 0.1260 0.1260
Er2 0.8740 0.8740 0.8740
Al1 0.0000 0.5000 0.5000
Al2 0.5000 0.0000 0.5000
Al3 0.5000 0.5000 0.0000
Co1 0.5000 0.5000 0.5000

## Properties
* ΔH_f (0 K): -0.50 eV per atom

[10]
Compound: ScFeS2Br
Source: the Alexandria database
Functional: SCAN
Structure: PBEsol geometry

abc: 4.9714 4.9714 4.2436
angles: 90.00 90.00 90.00
Element x y z (fractional)
Sc1 0.0000 0.0000 0.0000
Fe1 0.5000 0.5000 0.0000
S1 0.0000 0.5000 0.5000
S2 0.5000 0.0000 0.5000
Br1 0.5000 0.5000 0.5000

## Properties
* E_form (uncorrected): 0.630 eV per atom

[11]
Compound: ReTc2P
Source: the Alexandria database
Functional: SCAN
Structure: PBEsol geometry

abc: 4.7637 4.7637 4.7637
angles: 134.75 134.75 65.92
Element x y z (fractional)
Re1 0.0000 0.0000 0.0000
Tc1 0.2500 0.7500 0.5000
Tc2 0.7500 0.2500 0.5000
P1 0.5000 0.5000 0.0000

## Properties
* ΔH_f (0 K): 0.17 eV per atom

[12]
Compound: InTe2P
Source: the Alexandria database
Functional: SCAN
Structure: PBEsol geometry

abc: 7.4611 7.4611 7.4611
angles: 32.13 32.13 32.13
Element x y z (fractional)
In1 0.0000 0.0000 0.0000
Te1 0.2390 0.2390 0.2390
Te2 0.7610 0.7610 0.7610
P1 0.5000 0.5000 0.5000

## Properties
* E_form (uncorrected): 0.084 eV per atom

[13]
Compound: LiPrSn2
Source: the Alexandria database
Functional: SCAN
Structure: PBEsol geometry

abc: 9.7537 9.7537 4.4813
angles: 90.00 90.00 153.62
Element x y z (fractional)
Li1 0.1747 0.8253 0.7500
Li2 0.8253 0.1747 0.2500
Pr1 0.3936 0.6064 0.7500
Pr2 0.6064 0.3936 0.2500
Sn1 0.0438 0.9562 0.7500
Sn2 0.2496 0.7504 0.2500
Sn3 0.7504 0.2496 0.7500
Sn4 0.9562 0.0438 0.2500

## Properties
* ΔH_f (0 K): -0.69 eV per atom

[14]
Compound: HgTeRu2
Source: the Alexandria database
Functional: SCAN
Structure: PBEsol geometry

abc: 4.6108 4.6108 4.6108
angles: 60.00 60.00 60.00
Element x y z (fractional)
Hg1 0.0000 0.0000 0.0000
Te1 0.7500 0.7500 0.7500
Ru1 0.2500 0.2500 0.2500
Ru2 0.5000 0.5000 0.5000

## Properties
* E_form (uncorrected): 0.806 eV per atom

[15]
Compound: Na2SnWBr
Source: the Alexandria database
Functional: SCAN
Structure: PBEsol geometry

abc: 5.8955 5.8955 4.6284
angles: 90.00 90.00 90.00
Element x y z (fractional)
Na1 0.0000 0.5000 0.0000
Na2 0.5000 0.0000 0.0000
Sn1 0.0000 0.0000 0.5000
W1 0.5000 0.5000 0.0000
Br1 0.5000 0.5000 0.5000

## Properties
* E_form (uncorrected): 1.190 eV per atom

[16]
Compound: BaH2Pd
Source: the Alexandria database
Functional: SCAN
Structure: PBEsol geometry

abc: 5.4071 5.4071 5.4071
angles: 117.52 117.52 94.36
Element x y z (fractional)
Ba1 0.0000 0.0000 0.0000
Ba2 0.7500 0.2500 0.5000
H1 0.2682 0.6250 0.1432
H2 0.3750 0.5182 0.6432
H3 0.4818 0.1250 0.8568
H4 0.8750 0.7318 0.3568
Pd1 0.2500 0.7500 0.5000
Pd2 0.5000 0.5000 0.0000

[17]
Compound: LiAu5
Source: the Alexandria database
Functional: SCAN
Structure: PBEsol geometry

abc: 5.4507 5.4507 4.5654
angles: 90.00 90.00 120.00
Element x y z (fractional)
Li1 0.0000 0.0000 0.0000
Au1 0.0000 0.5000 0.5000
Au2 0.3333 0.6667 0.0000
Au3 0.5000 0.0000 0.5000
Au4 0.5000 0.5000 0.5000
Au5 0.6667 0.3333 0.0000

## Properties
* ΔH_f (0 K): -0.19 eV per atom

[18]
Compound: KRbP3
Source: the Alexandria database
Functional: SCAN
Structure: PBEsol geometry

abc: 5.4018 5.4018 5.4018
angles: 90.00 90.00 90.00
Element x y z (fractional)
K1 0.0000 0.0000 0.0000
Rb1 0.5000 0.5000 0.5000
P1 0.0000 0.0000 0.5000
P2 0.0000 0.5000 0.0000
P3 0.5000 0.0000 0.0000

## Properties
* ΔH_f (0 K): 1.34 eV per atom

[19]
Compound: VRhO4
Source: the Alexandria database
Functional: SCAN
Structure: PBEsol geometry

abc: 4.5095 4.5095 2.9285
angles: 90.00 90.00 90.32
Element x y z (fractional)
V1 0.0000 0.0000 0.0000
Rh1 0.5000 0.5000 0.5000
O1 0.1919 0.8081 0.5000
O2 0.2945 0.2945 0.0000
O3 0.7055 0.7055 0.0000
O4 0.8081 0.1919 0.5000

## Properties
* E_form (uncorrected): -1.839 eV per atom

[20]
Compound: KMn2Re
Source: the Alexandria database
Functional: SCAN
Structure: PBEsol geometry

abc: 2.9839 2.9839 8.5655
angles: 90.00 90.00 90.00
Element x y z (fractional)
K1 0.0000 0.0000 0.0000
Mn1 0.5000 0.5000 0.3326
Mn2 0.5000 0.5000 0.6674
Re1 0.0000 0.0000 0.5000

## Properties
* ΔH_f (0 K): 0.42 eV per atom

Number 1: theoretical density 14.95 Mg/m³, N(E_F) 0.768 states/eV per atom, final energy -2.071 hartree per atom. Number 2: theoretical density 4.19 Mg/m³, N(E_F) 0.680 states/eV per atom, final energy -0.831 hartree per atom. Number 3: theoretical density 15.74 Mg/m³, N(E_F) 1.245 states/eV per atom, final energy -1.786 hartree per atom. Number 4: theoretical density 2.47 Mg/m³, N(E_F) 0.657 states/eV per atom, final energy -0.424 hartree per atom. Number 5: theoretical density 6.71 Mg/m³, N(E_F) 1.564 states/eV per atom, final energy -1.291 hartree per atom. Number 6: theoretical density 6.50 Mg/m³, N(E_F) 0.375 states/eV per atom, final energy -0.488 hartree per atom. Number 7: theoretical density 3.92 Mg/m³, N(E_F) 0.000 states/eV per atom, final energy -0.434 hartree per atom. Number 8: theoretical density 15.28 Mg/m³, N(E_F) 0.733 states/eV per atom, final energy -2.090 hartree per atom. Number 9: theoretical density 7.39 Mg/m³, N(E_F) 0.506 states/eV per atom, final energy -0.883 hartree per atom. Number 10: theoretical density 3.88 Mg/m³, N(E_F) 0.627 states/eV per atom, final energy -0.499 hartree per atom. Number 11: theoretical density 12.78 Mg/m³, N(E_F) 0.953 states/eV per atom, final energy -1.387 hartree per atom. Number 12: theoretical density 6.38 Mg/m³, N(E_F) 0.168 states/eV per atom, final energy -1.084 hartree per atom. Number 13: theoretical density 6.75 Mg/m³, N(E_F) 0.229 states/eV per atom, final energy -1.105 hartree per atom. Number 14: theoretical density 12.71 Mg/m³, N(E_F) 0.833 states/eV per atom, final energy -1.579 hartree per atom. Number 15: theoretical density 4.42 Mg/m³, N(E_F) 0.370 states/eV per atom, final energy -0.937 hartree per atom. Number 16: theoretical density 7.06 Mg/m³, N(E_F) 0.000 states/eV per atom, final energy -0.746 hartree per atom. Number 17: theoretical density 14.02 Mg/m³, N(E_F) 0.265 states/eV per atom, final energy -2.139 hartree per atom. Number 18: theoretical density 2.29 Mg/m³, N(E_F) 0.944 states/eV per atom, final energy -0.394 hartree per atom. Number 19: theoretical density 6.07 Mg/m³, N(E_F) 0.412 states/eV per atom, final energy -0.534 hartree per atom. Number 20: theoretical density 7.30 Mg/m³, N(E_F) 0.496 states/eV per atom, final energy -1.050 hartree per atom.